Record 1
The following is a DFT calculation (PBE-GGA) of a geometry-optimized LaSb2Pb structure.

## Properties
Theoretical density   8.11 Mg/m³
Crystal system   trigonal
Formation energy without anion corrections   -0.02 eV per atom

a = 11.6358 Å, b = 11.6358 Å, c = 11.6358 Å
α = 17.24°, β = 17.24°, γ = 17.24°
Atoms (fractional coordinates):
Pb (0.7479, 0.7479, 0.7479)
La (0.5011, 0.5011, 0.5011)
Sb (0.0039, 0.0039, 0.0039)
Sb (0.2472, 0.2472, 0.2472)

***

Record 2
The following is a DFT calculation (PBE-GGA) of a geometry-optimized La2SbPb2 structure.

## Properties
E above lowest polymorph   33.40 kJ/mol of atoms
Theoretical density   7.40 Mg/m³
Crystal system   tetragonal
Formation energy without anion corrections   -0.23 eV per atom

a = 6.3278 Å, b = 6.3278 Å, c = 6.3911 Å
α = 60.33°, β = 60.33°, γ = 90.00°
Atoms (fractional coordinates):
La (0.7500, 0.2500, 0.5000)
La (0.2500, 0.7500, 0.5000)
Pb (0.6659, 0.6659, 0.6683)
Pb (0.3341, 0.3341, 0.3317)
Sb (0.0000, 0.0000, 0.0000)

***

Record 3
The following is a DFT calculation (PBE-GGA) of a geometry-optimized La5Sb4Pb structure.

## Properties
E above lowest polymorph   0.00 kJ/mol of atoms
Theoretical density   6.54 Mg/m³
Crystal system   orthorhombic
Formation energy without anion corrections   -1.11 eV per atom

a = 4.5948 Å, b = 6.5572 Å, c = 12.3638 Å
α = 105.38°, β = 100.71°, γ = 90.00°
Atoms (fractional coordinates):
La (0.0000, 0.5000, 0.0000)
La (0.8010, 0.3010, 0.6021)
La (0.1990, 0.6990, 0.3979)
La (0.3958, 0.8958, 0.7917)
La (0.6042, 0.1042, 0.2083)
Sb (0.4000, 0.4000, 0.8001)
Sb (0.2012, 0.2012, 0.4024)
Sb (0.6000, 0.6000, 0.1999)
Sb (0.7988, 0.7988, 0.5976)
Pb (0.0000, 0.0000, 0.0000)

***

Record 4
The following is a DFT calculation (PBE-GGA) of a geometry-optimized LaSbPb3 structure.

## Properties
E above lowest polymorph   38.97 kJ/mol of atoms
Theoretical density   6.55 Mg/m³
Crystal system   cubic
Formation energy without anion corrections   0.75 eV per atom

a = 6.0707 Å, b = 6.0707 Å, c = 6.0707 Å
α = 90.00°, β = 90.00°, γ = 90.00°
Atoms (fractional coordinates):
La (0.0000, 0.0000, 0.0000)
Pb (0.5000, 0.0000, 0.0000)
Pb (0.0000, 0.0000, 0.5000)
Pb (0.0000, 0.5000, 0.0000)
Sb (0.5000, 0.5000, 0.5000)